Arrangement one

# Ti2IrF

Ti2IrF after structural relaxation (GGA-PBE, Alexandria).

Computed properties:
Total magnetization, Bohr magnetons per cell: 0.00

a b c (Å): 5.0729 5.0729 10.7238
angles (deg): 90.00 90.00 90.00
Space group I-42d (No. 122)
Unique sites:
Ti (0.1904, 0.2500, 0.1250) [8 per cell]
Ir (0.0000, 0.0000, 0.5000) [4 per cell]
F (0.0000, 0.0000, 0.0000) [4 per cell]

Arrangement two

# Ti2IrF

Ti2IrF after structural relaxation (GGA-PBE, Alexandria).

Computed properties:
Total magnetization, Bohr magnetons per cell: 0.02

a b c (Å): 6.1488 6.1488 6.1488
angles (deg): 90.00 90.00 90.00
Space group Fm-3m (No. 225)
Unique sites:
Ti (0.2500, 0.2500, 0.2500) [8 per cell]
Ir (0.0000, 0.0000, 0.0000) [4 per cell]
F (0.0000, 0.0000, 0.5000) [4 per cell]

The calculated energies rank the structures as follows, beginning with the most stable: arrangement one, arrangement two.

Arrangement one

# TlIrF2

TlIrF2 after structural relaxation (GGA-PBE, Alexandria).

Computed properties:
Total magnetization, Bohr magnetons per cell: 7.98

a b c (Å): 6.2778 6.2778 6.2778
angles (deg): 90.00 90.00 90.00
Space group Fm-3m (No. 225)
Unique sites:
Tl (0.0000, 0.0000, 0.0000) [4 per cell]
Ir (0.0000, 0.0000, 0.5000) [4 per cell]
F (0.2500, 0.2500, 0.2500) [8 per cell]

Arrangement two

# TlIrF2

TlIrF2 after structural relaxation (GGA-PBE, Alexandria).

Computed properties:
Total magnetization, Bohr magnetons per cell: 0.00

a b c (Å): 7.2476 7.2476 5.4019
angles (deg): 90.00 90.00 90.00
Space group I-42d (No. 122)
Unique sites:
Tl (0.0000, 0.0000, 0.0000) [4 per cell]
Ir (0.0000, 0.0000, 0.5000) [4 per cell]
F (0.1468, 0.2500, 0.6250) [8 per cell]

Arrangement three

# TlIrF2

TlIrF2 after structural relaxation (GGA-PBE, Alexandria).

Computed properties:
Total magnetization, Bohr magnetons per cell: 2.45

a b c (Å): 2.9664 2.9664 25.1016
angles (deg): 90.00 90.00 120.00
Space group R-3m (No. 166, hexagonal axes)
Unique sites:
Tl (0.0000, 0.0000, 0.0000) [3 per cell]
Ir (0.0000, 0.0000, 0.5000) [3 per cell]
F (0.0000, 0.0000, 0.4212) [6 per cell]

The calculated energies rank the structures as follows, beginning with the most stable: arrangement three, arrangement two, arrangement one.